An optimized crystal structure of PrHo2MgAu4, computed with PBE.

Output
**Magnetic moment**: 0.0 μB/f.u.
**Energy of formation**: -0.77 eV per atom
**Raw total energy**: -4.3534 eV per atom
**Space group**: R-3m (166)

Cell and atoms, written as POSCAR:
```
PrHo2MgAu4
1.0
2.4974 1.4419 8.4932
-2.4974 1.4419 8.4932
0.0000 -2.8837 8.4932
Pr Ho Mg Au
1 2 1 4
Direct
0.0000 0.0000 0.0000
0.2413 0.2413 0.2413
0.7587 0.7587 0.7587
0.5000 0.5000 0.5000
0.1235 0.1235 0.1235
0.3880 0.3880 0.3880
0.6120 0.6120 0.6120
0.8765 0.8765 0.8765
```